The following is a DFT calculation (GGA-PBE) of a geometry-optimized LaTm3Pb structure.

Values from the calculation:
total magnetic moment = 0.000 μB per atom
calculated density = 9.2 g/cm³
ΔE_f = -0.164 eV per atom
Fermi-level density of states = 4.94 states/eV/f.u.
space-group type = P2_1/c, No. 14

abc: 9.2636 7.9119 10.3064
angles: 125.21 90.00 90.00
Last column: nearest neighbours and their distance in Å.
Positions (direct):
La 0.5812 0.7163 0.8282  7 Tm 3.32-3.66, 2 Pb 3.55-3.56
La 0.4188 0.2837 0.1718  7 Tm 3.32-3.66, 2 Pb 3.55-3.56
La 0.9188 0.7163 0.3282  7 Tm 3.32-3.66, 2 Pb 3.55-3.56
La 0.0812 0.2837 0.6718  7 Tm 3.32-3.66, 2 Pb 3.55-3.56
Tm 0.6159 0.9093 0.2406  3 Pb 3.26-3.49, 5 Tm 3.31-3.63, 2 La 3.55-3.61
Tm 0.9207 0.7018 0.9748  2 Pb 3.19-3.28, 2 Tm 3.31-3.35, 2 La 3.32-3.52
Tm 0.5793 0.7018 0.4748  2 Pb 3.19-3.28, 2 Tm 3.31-3.35, 2 La 3.32-3.52
Tm 0.4207 0.2982 0.5252  2 Pb 3.19-3.28, 2 Tm 3.31-3.35, 2 La 3.32-3.52
Tm 0.8841 0.9093 0.7406  3 Pb 3.26-3.49, 5 Tm 3.31-3.63, 2 La 3.55-3.61
Tm 0.3841 0.0907 0.7594  3 Pb 3.26-3.49, 5 Tm 3.31-3.63, 2 La 3.55-3.61
Tm 0.1159 0.0907 0.2594  3 Pb 3.26-3.49, 5 Tm 3.31-3.63, 2 La 3.55-3.61
Tm 0.1764 0.5993 0.5107  2 Pb 3.14-3.15, 3 Tm 3.35-3.50, 1 La 3.48
Tm 0.6764 0.4007 0.9893  2 Pb 3.14-3.15, 3 Tm 3.35-3.50, 1 La 3.48
Tm 0.3236 0.5993 0.0107  2 Pb 3.14-3.15, 3 Tm 3.35-3.50, 1 La 3.48
Tm 0.8236 0.4007 0.4893  2 Pb 3.14-3.15, 3 Tm 3.35-3.50, 1 La 3.48
Tm 0.0793 0.2982 0.0252  2 Pb 3.19-3.28, 2 Tm 3.31-3.35, 2 La 3.32-3.52
Pb 0.2093 0.8499 0.8817  7 Tm 3.14-3.49
Pb 0.2907 0.8499 0.3817  7 Tm 3.14-3.49
Pb 0.7907 0.1501 0.1183  7 Tm 3.14-3.49
Pb 0.7093 0.1501 0.6183  7 Tm 3.14-3.49



The following is a DFT calculation (GGA-PBE) of a geometry-optimized NdGe2Ir2 structure.

Values from the calculation:
total magnetic moment = 0.000 μB per atom
calculated density = 12.0 g/cm³
ΔE_f = -0.776 eV per atom
Fermi-level density of states = 2.39 states/eV/f.u.
space-group type = P4/nmm, No. 129

abc: 4.2862 4.2859 10.1628
angles: 90.00 90.00 90.00
Last column: nearest neighbours and their distance in Å.
Positions (direct):
Ir 0.2544 0.7499 0.0000  4 Ge 2.53
Ir 0.7543 0.7501 0.6270  5 Ge 2.45-2.50
Ir 0.2543 0.2499 0.3730  5 Ge 2.45-2.50
Ir 0.7544 0.2501 0.0000  4 Ge 2.53
Ge 0.2542 0.7499 0.5000  4 Ir 2.50
Ge 0.7543 0.7501 0.8685  5 Ir 2.45-2.53
Ge 0.7542 0.2500 0.5000  4 Ir 2.50
Ge 0.2543 0.2499 0.1315  5 Ir 2.45-2.53
Nd 0.7544 0.7499 0.2550  8 Ir 3.26-3.36, 8 Ge 3.28-3.29
Nd 0.2544 0.2501 0.7450  8 Ir 3.26-3.36, 8 Ge 3.28-3.29



The following is a DFT calculation (GGA-PBE) of a geometry-optimized K8Rb4Hg structure.

Values from the calculation:
total magnetic moment = 0.000 μB per atom
calculated density = 1.5 g/cm³
ΔE_f = -0.027 eV per atom
Fermi-level density of states = 8.92 states/eV/f.u.
space-group type = Pmm2, No. 25

abc: 6.8763 6.8821 20.1628
angles: 90.00 90.00 90.00
Last column: nearest neighbours and their distance in Å.
Positions (direct):
Rb 0.0000 0.0000 0.0807  1 Hg 3.69
Rb 0.5000 0.0000 0.9152  10 K 4.72-4.90, 2 Rb 4.79
Rb 0.5000 0.5000 0.4097  10 K 4.74-5.08, 2 Rb 5.07
Rb 0.0000 0.5000 0.5942  10 K 4.70-4.86, 2 Rb 5.07
K 0.5000 0.5000 0.0881  6 K 4.71-4.90, 6 Rb 4.87-4.90
K 0.5000 0.5000 0.7551  8 K 4.71-4.86, 4 Rb 4.72-4.73
K 0.0000 0.5000 0.2481  2 Hg 3.46
K 0.0000 0.0000 0.4357  1 Hg 3.46
K 0.0000 0.0000 0.7546  8 K 4.71-4.86, 4 Rb 4.72
K 0.5000 0.0000 0.2481  2 Hg 3.45
K 0.0000 0.5000 0.9147  6 K 4.71-4.90, 6 Rb 4.80-4.86
K 0.5000 0.0000 0.5950  6 K 4.71-4.72, 6 Rb 4.86-5.08
Hg 0.0000 0.0000 0.2639  5 K 3.45-3.46, 1 Rb 3.69



The following is a DFT calculation (GGA-PBE) of a geometry-optimized AcGa4CoIr2 structure.

Values from the calculation:
total magnetic moment = 0.000 μB per atom
calculated density = 11.0 g/cm³
ΔE_f = -0.496 eV per atom
Fermi-level density of states = 3.00 states/eV/f.u.
space-group type = R-3m, No. 166

abc: 4.2590 4.2590 9.4256
angles: 76.94 76.94 60.00
Last column: nearest neighbours and their distance in Å.
Positions (direct):
Ga 0.1344 0.1344 0.5967  4 Ir 2.58-2.59, 3 Co 2.61
Ga 0.8656 0.8656 0.4033  4 Ir 2.58-2.59, 3 Co 2.61
Ga 0.4090 0.4090 0.7729  1 Co 2.48, 3 Ir 2.58
Ga 0.5910 0.5910 0.2271  1 Co 2.48, 3 Ir 2.58
Ir 0.2288 0.2288 0.3137  7 Ga 2.58-2.59
Ir 0.7712 0.7712 0.6863  7 Ga 2.58-2.59
Co 0.5000 0.5000 0.5000  8 Ga 2.48-2.61
Ac 0.0000 0.0000 0.0000  6 Ga 3.21



The following is a DFT calculation (GGA-PBE) of a geometry-optimized Cd2TcOs structure.

Values from the calculation:
total magnetic moment = 0.000 μB per atom
energy relative to the lowest polymorph listed for this composition = 401 meV/atom
calculated density = 11.9 g/cm³
ΔE_f = 0.560 eV per atom
Fermi-level density of states = 3.22 states/eV/f.u.
space-group type = Imm2, No. 44

abc: 5.8030 5.8030 5.8030
angles: 151.20 130.10 58.64
Last column: nearest neighbours and their distance in Å.
Positions (direct):
Cd 0.0154 0.0154 0.0000  4 Os 2.87, 4 Cd 2.89-3.21, 2 Tc 3.00
Cd 0.7323 0.2323 0.5000  4 Tc 2.88, 4 Cd 2.89-3.21, 2 Os 2.96
Tc 0.2757 0.7757 0.5000  2 Os 2.49
Os 0.4766 0.4766 0.0000  2 Tc 2.49



The following is a DFT calculation (GGA-PBE) of a geometry-optimized Cd2TeI structure.

Values from the calculation:
total magnetic moment = 0.000 μB per atom
energy relative to the lowest polymorph listed for this composition = 230 meV/atom
calculated density = 6.9 g/cm³
Fermi-level density of states = 1.56 states/eV/f.u.
ΔE_f (raw) = 0.0028 eV per atom
space-group type = Fm-3m, No. 225

abc: 5.4711 5.4711 5.4711
angles: 60.00 60.00 60.00
Last column: nearest neighbours and their distance in Å.
Positions (direct):
I 0.5000 0.5000 0.5000  8 Cd 3.35
Cd 0.2500 0.2500 0.2500  4 I 3.35, 4 Te 3.35
Cd 0.7500 0.7500 0.7500  4 Te 3.35, 4 I 3.35
Te 0.0000 0.0000 0.0000  8 Cd 3.35



The following is a DFT calculation (GGA-PBE) of a geometry-optimized ReSb3W structure.

Values from the calculation:
total magnetic moment = 0.772 μB per atom
energy relative to the lowest polymorph listed for this composition = 0 meV/atom
calculated density = 8.9 g/cm³
Fermi-level density of states = 3.99 states/eV/f.u.
ΔE_f (raw) = 1.5894 eV per atom
space-group type = Pm-3m, No. 221

abc: 5.1498 5.1498 5.1498
angles: 90.00 90.00 90.00
Last column: nearest neighbours and their distance in Å.
Positions (direct):
Sb 0.0000 0.5000 0.0000  2 Re 2.57
Sb 0.0000 0.0000 0.5000  2 Re 2.57
Sb 0.5000 0.0000 0.0000  2 Re 2.57
W 0.5000 0.5000 0.5000  12 Sb 3.64
Re 0.0000 0.0000 0.0000  6 Sb 2.57



The following is a DFT calculation (GGA-PBE) of a geometry-optimized TaFeAg2 structure.

Values from the calculation:
total magnetic moment = 0.542 μB per atom
energy relative to the lowest polymorph listed for this composition = 176 meV/atom
calculated density = 11.5 g/cm³
ΔE_f = 0.394 eV per atom
Fermi-level density of states = 3.75 states/eV/f.u.
space-group type = Cm, No. 8

abc: 4.8192 4.8192 5.1440
angles: 80.85 80.85 33.80
Last column: nearest neighbours and their distance in Å.
Positions (direct):
Ag 0.2440 0.2440 0.2479  5 Ag 2.75-2.84, 3 Fe 2.82-2.93, 4 Ta 2.86-3.00
Ag 0.9995 0.9995 0.0060  5 Ag 2.75-2.84, 3 Ta 2.85-2.92, 4 Fe 2.88-2.98
Ta 0.7570 0.7570 0.7284  3 Fe 2.71-2.77, 2 Ta 2.80, 7 Ag 2.85-3.00
Fe 0.4995 0.4995 0.5178  3 Ta 2.71-2.77, 2 Fe 2.80, 7 Ag 2.82-2.98



The following is a DFT calculation (GGA-PBE) of a geometry-optimized CeNd2Y6Tm3 structure.

Values from the calculation:
total magnetic moment = 0.083 μB per atom
calculated density = 6.3 g/cm³
ΔE_f = 0.045 eV per atom
Fermi-level density of states = 21.66 states/eV/f.u.
space-group type = C2/m, No. 12

abc: 6.1909 6.1909 11.8082
angles: 95.02 95.02 119.98
Last column: nearest neighbours and their distance in Å.
Positions (direct):
Tm 0.1670 0.8330 0.5000  6 Y 3.53-3.54, 6 Tm 3.57-3.58
Tm 0.8330 0.1670 0.5000  6 Y 3.53-3.54, 6 Tm 3.57-3.58
Tm 0.5000 0.5000 0.5000  6 Y 3.53-3.54, 6 Tm 3.57-3.58
Y 0.4155 0.0845 0.2533  3 Tm 3.53-3.54, 6 Y 3.55-3.59, 1 Ce 3.59, 2 Nd 3.60
Y 0.5845 0.9155 0.7467  3 Tm 3.53-3.54, 6 Y 3.55-3.59, 1 Ce 3.59, 2 Nd 3.60
Y 0.0845 0.4155 0.2533  3 Tm 3.53-3.54, 6 Y 3.55-3.59, 1 Ce 3.59, 2 Nd 3.60
Y 0.9155 0.5845 0.7467  3 Tm 3.53-3.54, 6 Y 3.55-3.59, 1 Ce 3.59, 2 Nd 3.60
Y 0.7535 0.7535 0.2537  3 Tm 3.53-3.54, 6 Y 3.55-3.59, 1 Ce 3.59, 2 Nd 3.60
Y 0.2465 0.2465 0.7463  3 Tm 3.53-3.54, 6 Y 3.55-3.59, 1 Ce 3.59, 2 Nd 3.60
Nd 0.6665 0.3335 0.0000  3 Nd 3.57-3.58, 3 Ce 3.57-3.58, 6 Y 3.60
Nd 0.3335 0.6665 0.0000  3 Nd 3.57-3.58, 3 Ce 3.57-3.58, 6 Y 3.60
Ce 0.0000 0.0000 0.0000  6 Nd 3.57-3.58, 6 Y 3.59



The following is a DFT calculation (GGA-PBE) of a geometry-optimized LiTi2InC structure.

Values from the calculation:
total magnetic moment = 0.000 μB per atom
calculated density = 5.1 g/cm³
ΔE_f = -0.291 eV per atom
Fermi-level density of states = 2.58 states/eV/f.u.
space-group type = P4/mmm, No. 123

abc: 4.2055 4.2055 4.2510
angles: 90.00 90.00 90.00
Last column: nearest neighbours and their distance in Å.
Positions (direct):
C 0.0000 0.0000 0.0000  4 Ti 2.10, 2 Li 2.13
Ti 0.0000 0.5000 0.0000  2 C 2.10
Ti 0.5000 0.0000 0.0000  2 C 2.10
Li 0.0000 0.0000 0.5000  2 C 2.13
In 0.5000 0.5000 0.5000  4 Li 2.97, 8 Ti 2.99